No. 1
A plane-wave DFT calculation with PBE was carried out for CeAg after structural relaxation.

* formation enthalpy at 0 K: -41 meV/atom
* N(E_F): 4.047 states/eV/atom
* crystal system: cubic
* raw total energy: -4.434 eV per atom

Cell: 3.7227 3.7227 3.7227 Å, 90.00 90.00 90.00°
Space group Pm-3m (No. 221)
Asymmetric unit:
Ce 0.0000 0.0000 0.0000 [1 per cell]
Ag 0.5000 0.5000 0.5000 [1 per cell]



No. 2
A plane-wave DFT calculation with PBE was carried out for Ce3Ag after structural relaxation.

* formation enthalpy at 0 K: -9 meV/atom
* N(E_F): 2.594 states/eV/atom
* crystal system: orthorhombic
* raw total energy: -5.173 eV per atom
* excess energy over the best structure of this formula in the dataset: 0.017 eV per atom

Cell: 3.2710 5.5676 10.7500 Å, 90.00 90.00 90.00°
Space group Immm (No. 71)
Asymmetric unit:
Ce 0.0000 0.0000 0.0000 [2 per cell]
Ce 0.0000 0.5000 0.2528 [4 per cell]
Ag 0.0000 0.0000 0.5000 [2 per cell]



No. 3
A plane-wave DFT calculation with PBE was carried out for Ce5Ag after structural relaxation.

* formation enthalpy at 0 K: 83 meV/atom
* N(E_F): 2.671 states/eV/atom
* crystal system: hexagonal
* raw total energy: -5.337 eV per atom
* excess energy over the best structure of this formula in the dataset: 0.055 eV per atom

Cell: 3.1976 3.1976 16.9060 Å, 90.00 90.00 120.00°
Space group P-6m2 (No. 187)
Asymmetric unit:
Ce 0.0000 0.0000 0.0000 [1 per cell]
Ce 0.0000 0.0000 0.3413 [2 per cell]
Ce 0.3333 0.6667 0.1699 [2 per cell]
Ag 0.3333 0.6667 0.5000 [1 per cell]



No. 4
A plane-wave DFT calculation with PBE was carried out for Ce2Ag17 after structural relaxation.

* formation enthalpy at 0 K: -15 meV/atom
* N(E_F): 1.194 states/eV/atom
* crystal system: trigonal
* raw total energy: -3.191 eV per atom

Cell: 9.6570 9.6570 14.3140 Å, 90.00 90.00 120.00°
Space group R-3m (No. 166, hexagonal axes)
Asymmetric unit:
Ce 0.0000 0.0000 0.1577 [6 per cell]
Ag 0.0000 0.0000 0.4001 [6 per cell]
Ag 0.0000 0.3010 0.5000 [18 per cell]
Ag 0.0000 0.5000 0.0000 [9 per cell]
Ag 0.0040 0.5020 0.6519 [18 per cell]



No. 5
A plane-wave DFT calculation with PBE was carried out for CeAg5Cl12 after structural relaxation.

* N(E_F): 0.734 states/eV/atom
* crystal system: monoclinic
* raw total energy: -3.128 eV per atom

Cell: 6.5616 12.1946 13.0485 Å, 90.00 98.79 90.00°
Space group C2/m (No. 12)
Asymmetric unit:
Ce 0.0000 0.0000 0.0000 [2 per cell]
Ag 0.0000 0.1667 0.5000 [4 per cell]
Ag 0.0000 0.3419 0.0000 [4 per cell]
Ag 0.0000 0.5000 0.5000 [2 per cell]
Cl 0.1623 0.0000 0.3915 [4 per cell]
Cl 0.1623 0.3332 0.3914 [8 per cell]
Cl 0.2049 0.1582 0.1149 [8 per cell]
Cl 0.2235 0.5000 0.1278 [4 per cell]



No. 6
A plane-wave DFT calculation with PBE was carried out for CeAg6Cl12 after structural relaxation.

* N(E_F): 0.608 states/eV/atom
* crystal system: trigonal
* raw total energy: -3.177 eV per atom

Cell: 10.9092 10.9092 17.7573 Å, 90.00 90.00 120.00°
Space group R-3 (No. 148, hexagonal axes)
Asymmetric unit:
Ce 0.0000 0.0000 0.0000 [3 per cell]
Ag 0.0341 0.2597 0.6619 [18 per cell]
Cl 0.0209 0.2046 0.3842 [18 per cell]
Cl 0.0787 0.2250 0.9132 [18 per cell]



No. 7
A plane-wave DFT calculation with PBE was carried out for CeAg2Cl8 after structural relaxation.

* crystal system: monoclinic
* raw total energy: -3.436 eV per atom
* excess energy over the best structure of this formula in the dataset: 0.000 eV per atom

Cell: 14.4369 10.2937 10.1720 Å, 90.00 114.80 90.00°
Space group C2/c (No. 15)
Asymmetric unit:
Ce 0.0000 0.2482 0.2500 [4 per cell]
Ag 0.1703 0.4507 0.5740 [8 per cell]
Cl 0.0395 0.2656 0.5308 [8 per cell]
Cl 0.1349 0.0645 0.2954 [8 per cell]
Cl 0.1420 0.4323 0.2932 [8 per cell]
Cl 0.1780 0.2577 0.9932 [8 per cell]



No. 8
A plane-wave DFT calculation with PBE was carried out for CeAg3Cl7 after structural relaxation.

* crystal system: monoclinic
* raw total energy: -3.604 eV per atom

Cell: 13.2184 7.7060 8.8850 Å, 90.00 130.55 90.00°
Space group Cm (No. 8)
Asymmetric unit:
Ce 0.0000 0.0000 0.0000 [2 per cell]
Ag 0.0053 0.5000 0.0916 [2 per cell]
Ag 0.4453 0.2635 0.4376 [4 per cell]
Cl 0.0484 0.5000 0.4260 [2 per cell]
Cl 0.0507 0.0000 0.3408 [2 per cell]
Cl 0.1832 0.2517 0.1461 [4 per cell]
Cl 0.3273 0.2494 0.8664 [4 per cell]
Cl 0.4559 0.5000 0.6533 [2 per cell]



No. 9
A plane-wave DFT calculation with PBE was carried out for Ce3Ag5Cl12 after structural relaxation.

* N(E_F): 1.496 states/eV/atom
* crystal system: cubic
* raw total energy: -3.910 eV per atom

Cell: 16.3654 16.3654 16.3654 Å, 90.00 90.00 90.00°
Space group Ia-3d (No. 230)
Asymmetric unit:
Ce 0.0000 0.2500 0.1250 [24 per cell]
Ag 0.0000 0.0000 0.0000 [16 per cell]
Ag 0.0000 0.2500 0.3750 [24 per cell]
Cl 0.0213 0.0694 0.6535 [96 per cell]



No. 10
A plane-wave DFT calculation with PBE was carried out for CeAg3Cl6 after structural relaxation.

* N(E_F): 0.815 states/eV/atom
* crystal system: monoclinic
* raw total energy: -3.671 eV per atom

Cell: 7.0635 6.9633 12.7799 Å, 90.00 122.34 90.00°
Space group P2_1/c (No. 14)
Asymmetric unit:
Ce 0.0000 0.0000 0.0000 [2 per cell]
Ag 0.2763 0.0248 0.7587 [4 per cell]
Ag 0.5000 0.0000 0.5000 [2 per cell]
Cl 0.0727 0.1675 0.4112 [4 per cell]
Cl 0.2822 0.6747 0.4389 [4 per cell]
Cl 0.3574 0.1153 0.2356 [4 per cell]



No. 11
A plane-wave DFT calculation with PBE was carried out for CeAg2Cl5 after structural relaxation.

* N(E_F): 0.997 states/eV/atom
* crystal system: monoclinic
* raw total energy: -3.908 eV per atom

Cell: 13.2910 7.3513 10.2207 Å, 90.00 113.24 90.00°
Space group C2/c (No. 15)
Asymmetric unit:
Ce 0.0000 0.0000 0.0000 [4 per cell]
Ag 0.1263 0.4389 0.1864 [8 per cell]
Cl 0.0000 0.1537 0.7500 [4 per cell]
Cl 0.0793 0.3306 0.4462 [8 per cell]
Cl 0.2108 0.1259 0.1430 [8 per cell]



No. 12
A plane-wave DFT calculation with PBE was carried out for CeAg2Cl8 after structural relaxation.

* N(E_F): 0.404 states/eV/atom
* crystal system: monoclinic
* raw total energy: -3.326 eV per atom
* excess energy over the best structure of this formula in the dataset: 0.109 eV per atom

Cell: 15.4278 5.0265 7.6923 Å, 90.00 90.75 90.00°
Space group C2/m (No. 12)
Asymmetric unit:
Ce 0.0000 0.0000 0.0000 [2 per cell]
Ag 0.2128 0.5000 0.6778 [4 per cell]
Cl 0.0445 0.0000 0.3350 [4 per cell]
Cl 0.0695 0.5000 0.8512 [4 per cell]
Cl 0.1734 0.0000 0.0451 [4 per cell]
Cl 0.2249 0.0000 0.6289 [4 per cell]